[1]
This record from Alexandria via LeMat-Bulk describes a relaxed structure of Se2BrCl. The functional is PBE.

Unit cell a=3.8238 b=3.8238 c=25.9532 alpha=90.00 beta=90.00 gamma=120.00
Space group R3m (No. 160, hexagonal axes)
Unique sites:
Se  0.0000  0.0000  0.0000
Se  0.0000  0.0000  0.2761
Br  0.0000  0.0000  0.7401
Cl  0.0000  0.0000  0.5431

- VASP energy (eV/f.u.) = -10.588
- M_tot (μB per cell) = 0.000
- formation energy from raw total energies (meV/atom) = -25

[2]
This record from Alexandria via LeMat-Bulk describes a relaxed structure of SeBrCl. The functional is PBE.

Unit cell a=6.860 b=6.860 c=6.860 alpha=90.00 beta=90.00 gamma=90.00
Space group F-43m (No. 216)
Unique sites:
Se  0.000  0.000  0.000
Br  0.250  0.250  0.750
Cl  0.250  0.250  0.250

- VASP energy (eV/f.u.) = -5.379
- M_tot (μB per cell) = 1.733
- formation energy from raw total energies (meV/atom) = 542
- offset from the most stable computed form (meV per atom) = 720